Compound: Zr2Fe2P
Source: Alexandria
Functional: PBE-GGA
Structure: relaxed

Lattice parameters (Å, degrees): 5.8276 5.8276 4.4523 90.00 90.00 90.00
With the nearest neighbours (Å) after each atom.
Fractional coordinates of all 10 atoms:
Zr (0.1817, 0.3183, 0.0000)  6 Fe 2.67-2.92, 1 Zr 2.99
Zr (0.3183, 0.8183, 0.0000)  6 Fe 2.67-2.92, 1 Zr 2.99
Zr (0.6817, 0.1817, 0.0000)  6 Fe 2.67-2.92, 1 Zr 2.99
Zr (0.8183, 0.6817, 0.0000)  6 Fe 2.67-2.92, 1 Zr 2.99
Fe (0.1384, 0.6384, 0.5000)  2 P 2.26, 1 Fe 2.28
Fe (0.3616, 0.1384, 0.5000)  2 P 2.26, 1 Fe 2.28
Fe (0.6384, 0.8616, 0.5000)  2 P 2.26, 1 Fe 2.28
Fe (0.8616, 0.3616, 0.5000)  2 P 2.26, 1 Fe 2.28
P (0.0000, 0.0000, 0.5000)  4 Fe 2.26
P (0.5000, 0.5000, 0.5000)  4 Fe 2.26

Results
- spin magnetization (μB/cell) = 0.00
- symmetry = No. 127
- raw total energy (eV per atom) = -8.2824